! PBE PmYNi, relaxed; values from VASP
! Total energy, eV/atom: -5.8547
! Distance to the lowest polymorph of the same formula, meV per atom: 53
! Formation energy from the elements, eV per formula unit: -0.57
&SYSTEM
  ibrav = 0, nat = 3, ntyp = 3
/
ATOMIC_SPECIES
Y 88.91 Y.upf
Ni 58.69 Ni.upf
Pm 145.00 Pm.upf
CELL_PARAMETERS angstrom
3.4569 0.0000 0.0000
0.0000 3.4569 0.0000
-1.7285 -1.7285 6.3223
ATOMIC_POSITIONS angstrom
Y 0.0000 0.0000 0.4818
Ni 1.7285 1.7285 2.0510
Pm 0.0000 0.0000 3.7895



! PBE Pm4YNi5, relaxed; values from VASP
! Total energy, eV/atom: -5.7143
! Formation energy from the elements, eV per formula unit: -2.77
&SYSTEM
  ibrav = 0, nat = 10, ntyp = 3
/
ATOMIC_SPECIES
Pm 145.00 Pm.upf
Y 88.91 Y.upf
Ni 58.69 Ni.upf
CELL_PARAMETERS angstrom
-1.7724 -2.8745 0.6352
2.5380 -1.1164 2.0297
-7.5712 7.6962 13.7002
ATOMIC_POSITIONS angstrom
Pm -1.4940 1.5187 2.7035
Pm -3.0222 3.0721 5.4687
Pm -4.5490 4.6241 8.2315
Pm -6.0771 6.1775 10.9967
Y 0.0000 0.0000 0.0000
Ni -0.3410 -1.2597 2.6422
Ni -1.8739 0.2985 5.4159
Ni -3.4028 1.8527 8.1826
Ni -4.9317 3.4068 10.9493
Ni -6.4646 4.9650 13.7230



! PBE Pm3Y3Ni4, relaxed; values from VASP
! Total energy, eV/atom: -5.9406
! Formation energy from the elements, eV per formula unit: -2.64
&SYSTEM
  ibrav = 0, nat = 10, ntyp = 3
/
ATOMIC_SPECIES
Pm 145.00 Pm.upf
Y 88.91 Y.upf
Ni 58.69 Ni.upf
CELL_PARAMETERS angstrom
-1.8424 1.4992 3.0817
-5.9767 -4.5987 -1.3360
3.2412 -5.2775 4.5052
ATOMIC_POSITIONS angstrom
Pm 0.2167 -7.5271 3.7915
Pm 1.5590 -2.6813 2.2365
Pm 0.8842 -4.4222 5.1363
Y -5.3244 -3.9650 1.2020
Y -1.8895 -2.5629 2.5735
Y -2.7880 -5.8067 3.6144
Ni -2.4928 -4.8553 0.8717
Ni -0.3042 -5.0164 2.2586
Ni -2.3450 -8.6885 2.8250
Ni -0.2698 -1.1966 0.4208



! PBE PmYNi4, relaxed; values from VASP
! Total energy, eV/atom: -6.1022
! Formation energy from the elements, eV per formula unit: -2.27
&SYSTEM
  ibrav = 0, nat = 6, ntyp = 3
/
ATOMIC_SPECIES
Y 88.91 Y.upf
Ni 58.69 Ni.upf
Pm 145.00 Pm.upf
CELL_PARAMETERS angstrom
5.1175 0.0000 0.0000
2.5588 4.4319 0.0000
2.5588 1.4773 4.1784
ATOMIC_POSITIONS angstrom
Y 0.0000 0.0000 0.0000
Ni 5.1175 2.9546 0.5170
Ni 5.1175 1.4723 2.6133
Ni 6.4012 3.6957 2.6133
Ni 3.8338 3.6957 2.6133
Pm 2.5588 1.4773 1.0446



! PBE PmY3Ni, relaxed; values from VASP
! Total energy, eV/atom: -6.0950
! Distance to the lowest polymorph of the same formula, meV per atom: 0
! Formation energy from the elements, eV per formula unit: -0.55
&SYSTEM
  ibrav = 0, nat = 10, ntyp = 3
/
ATOMIC_SPECIES
Pm 145.00 Pm.upf
Y 88.91 Y.upf
Ni 58.69 Ni.upf
CELL_PARAMETERS angstrom
-2.3014 -2.8522 -6.3319
7.1667 -1.2307 0.8055
-3.3473 -2.9466 5.6431
ATOMIC_POSITIONS angstrom
Pm -3.8802 -4.3364 -0.2123
Pm 5.3983 -2.6931 0.3290
Y -2.5330 -3.3222 -3.6035
Y 1.7296 -2.1158 0.5007
Y -0.2115 -4.9137 -0.3840
Y 1.0439 -3.0298 -3.2557
Y 4.0511 -3.7073 3.7202
Y 0.4742 -3.9997 3.3724
Ni 2.5821 -3.8536 -1.2929
Ni -1.0640 -3.1759 1.4096



! PBE PmYNi3, relaxed; values from VASP
! Total energy, eV/atom: -6.0882
! Distance to the lowest polymorph of the same formula, meV per atom: 0
! Formation energy from the elements, eV per formula unit: -1.88
&SYSTEM
  ibrav = 0, nat = 10, ntyp = 3
/
ATOMIC_SPECIES
Pm 145.00 Pm.upf
Y 88.91 Y.upf
Ni 58.69 Ni.upf
CELL_PARAMETERS angstrom
-1.7963 -1.9710 -2.9953
0.4419 -3.3776 1.9576
-10.9895 3.3784 4.3673
ATOMIC_POSITIONS angstrom
Pm -1.9863 -0.2516 0.0143
Pm -10.3576 -1.7186 3.3152
Y -6.6087 -1.1804 3.3976
Y -5.7352 -0.7898 -0.0681
Ni -8.6229 0.7898 3.3091
Ni -3.7210 -2.7600 0.0204
Ni -10.6880 1.1138 4.3343
Ni -1.6559 -3.0840 -1.0048
Ni -8.3666 -0.3769 1.2383
Ni -3.9773 -1.5933 2.0912